No. 1
Entry from OQMD: a geometry-optimized Nd3As2S structure (PBE).

```
data_Nd3As2S
_symmetry_space_group_name_H-M 'I m m m'
_symmetry_Int_Tables_number 71
_symmetry_space_group_name_Hall '-I 2 2'
_cell_length_a 4.2176
_cell_length_b 5.9516
_cell_length_c 12.6030
_cell_angle_alpha 90.00
_cell_angle_beta 90.00
_cell_angle_gamma 90.00
loop_
_atom_site_label
_atom_site_fract_x
_atom_site_fract_y
_atom_site_fract_z
Nd1 0.0000 0.0000 0.0000
Nd2 0.0000 0.0000 0.3341
As1 0.0000 0.5000 0.3327
S1 0.0000 0.5000 0.0000
```

Energy relative to the lowest polymorph listed for this composition   0.00 kcal/mol of atoms
VASP energy   -6.34 eV per atom
Calculated density   6.452 g/cm3

No. 2
Entry from OQMD: a geometry-optimized Nd3As2S structure (PBE).

```
data_Nd3As2S
_symmetry_space_group_name_H-M 'P -3 m 1'
_symmetry_Int_Tables_number 164
_symmetry_space_group_name_Hall '-P 3 2"'
_cell_length_a 4.2163
_cell_length_b 4.2163
_cell_length_c 10.2797
_cell_angle_alpha 90.00
_cell_angle_beta 90.00
_cell_angle_gamma 120.00
loop_
_atom_site_label
_atom_site_fract_x
_atom_site_fract_y
_atom_site_fract_z
Nd1 0.0000 0.0000 0.0000
Nd2 0.3333 0.6667 0.3348
As1 0.3333 0.6667 0.8283
S1 0.0000 0.0000 0.5000
```

Energy relative to the lowest polymorph listed for this composition   0.21 kcal/mol of atoms
VASP energy   -6.33 eV per atom
Calculated density   6.449 g/cm3

Q: What is the formula in the first record?
A: Nd3As2S